VASP calculation (PBE-GGA) on KSrRe after structural relaxation.

```
3
Lattice="-0.1812 -5.5079 1.0925 1.9742 1.8215 -4.9344 2.5964 0.1302 1.0868" Properties=species:S:1:pos:R:3 pbc="T T T"
Sr 3.4188 -0.5132 -2.0199
Re 1.4011 -3.0214 -0.5548
K 2.1658 0.1086 0.9066
```

Calculated values
For the volume, the calculation gives 77 Å³/f.u. The density of states at the Fermi level comes out at 4.4 states/eV/f.u. For the total moment, the calculation gives 0.4 μB per formula unit. The calculation puts the calculated total energy at -3.6837 eV/atom.